# 1
The following is a DFT calculation (GGA-PBE) of a geometry-optimized CeScAgRh structure.

Structure (extended XYZ):
```
4
Lattice="-1.918 -1.157 4.381 2.438 -3.009 3.036 2.026 1.774 4.118" Properties=species:S:1:pos:R:3 pbc="T T T"
Sc 1.273 -1.196 5.768
Ce 0.000 0.000 0.000
Rh 1.910 -1.794 8.652
Ag 0.637 -0.598 2.884
```

Properties
Density of states at the Fermi level, states/eV per cell: 6.858
DFT total energy, eV for the cell shown: -24.1
Total magnetization, μB per formula unit: 0.544
Energy relative to the elements, eV per atom: -0.405
Space-group type: F-43m

# 2
The following is a DFT calculation (GGA-PBE) of a geometry-optimized DySbN structure.

Structure (extended XYZ):
```
6
Lattice="-3.901 -1.234 -0.542 -0.407 -0.504 4.076 -2.424 7.366 0.669" Properties=species:S:1:pos:R:3 pbc="T T T"
N -4.443 2.379 2.984
N -2.289 3.249 1.218
Dy -4.529 3.511 1.026
Dy -2.203 2.117 3.176
Sb -3.188 -0.563 0.657
Sb -3.544 6.191 3.546
```

Properties
Density of states at the Fermi level, states/eV per cell: 3.070
DFT total energy, eV for the cell shown: -38.9
Total magnetization, μB per formula unit: 0.000
Space-group type: P4/nmm
Excess energy over the best structure of this formula in the dataset, eV/atom: 0.000
Formation energy (no corrections), eV per atom: -0.80

Question: Look up the density of states at the Fermi level of the first one.
Answer: 6.858 states/eV per cell

Question: Among the records above, which one has the lowest DFT total energy?
Answer: DySbN

Question: Among the records above, which one has the highest DFT total energy?
Answer: CeScAgRh

Question: Which formula does entry 1 have?
Answer: CeScAgRh